Entry 1:
{
  "formula": "TbAl8Co4",
  "functional": "PBE",
  "state": "relaxed",
  "cell": [[-3.596, 2.288, -2.814], [-6.038, -0.807, 2.425], [-1.156, 6.178, 1.866]],
  "species": ["Al", "Al", "Al", "Al", "Al", "Al", "Al", "Al", "Co", "Co", "Co", "Co", "Tb"],
  "frac_coords": [[0.340, 0.660, 0.660], [0.500, 0.223, 0.777], [0.000, 0.340, 0.660], [0.660, 0.340, 0.340], [0.723, 0.777, 0.777], [0.277, 0.223, 0.223], [0.500, 0.777, 0.223], [0.000, 0.660, 0.340], [0.000, 0.500, 0.000], [0.500, 0.000, 0.500], [0.000, 0.000, 0.500], [0.500, 0.500, 0.000], [0.000, 0.000, 0.000]],
  "delta_e_f_ev_per_fu": -6.70,
  "crystal_system": "tetragonal",
  "spacegroup": "I4/mmm (139)"
}

Entry 2:
{
  "formula": "KGeOF2",
  "functional": "PBE",
  "state": "relaxed",
  "cell": [[4.596, 0.000, 0.000], [0.000, 4.596, 0.000], [0.000, 0.000, 4.623]],
  "species": ["F", "F", "Ge", "O", "K"],
  "frac_coords": [[0.000, 0.500, 0.000], [0.500, 0.000, 0.000], [0.500, 0.500, 0.500], [0.000, 0.000, 0.500], [0.000, 0.000, 0.000]],
  "formation_energy_uncorrected_ev_per_atom": -0.5852,
  "relative_energy_mev_per_atom": 1461,
  "crystal_system": "tetragonal",
  "spacegroup": "P4/mmm (123)"
}

Entry 3:
{
  "formula": "ZrAg3Cl7",
  "functional": "PBE",
  "state": "relaxed",
  "cell": [[-3.866, -5.169, 4.439], [-4.961, -5.085, -3.301], [2.462, -7.328, -0.427]],
  "species": ["Cl", "Cl", "Cl", "Cl", "Cl", "Cl", "Cl", "Ag", "Ag", "Ag", "Zr"],
  "frac_coords": [[0.416, 0.416, 0.686], [0.091, 0.091, 0.254], [0.090, 0.634, 0.254], [0.634, 0.090, 0.254], [0.919, 0.354, 0.830], [0.354, 0.919, 0.830], [0.900, 0.900, 0.823], [0.211, 0.728, 0.477], [0.546, 0.546, 0.834], [0.728, 0.211, 0.477], [0.987, 0.987, 0.032]],
  "formation_energy_uncorrected_ev_per_atom": -1.0263,
  "crystal_system": "monoclinic",
  "spacegroup": "Cm (8)"
}